No. 1
Below is crystalline HfMo3O at its relaxed geometry, with properties calculated at the PBE+U level.

Output
The calculated density comes out at 10224 kg/m³. For the density of states at the Fermi level, the calculation gives 2.469 states/eV per cell. The symmetry is Pm-3m, No. 221. The electronic total energy comes out at -6.785 eV per atom. As for the crystal system: cubic.

Lattice parameters (Å, degrees): 4.2788 4.2788 4.2788 90.00 90.00 90.00
Closest atoms and distances in Å follow each position.
Sites, in units of the cell vectors:
Hf  0.0000  0.0000  0.0000  12 Mo 3.03
Mo  0.0000  0.5000  0.5000  2 O 2.14
Mo  0.5000  0.0000  0.5000  2 O 2.14
Mo  0.5000  0.5000  0.0000  2 O 2.14
O  0.5000  0.5000  0.5000  6 Mo 2.14

No. 2
Below is crystalline HfMo3O at its relaxed geometry, with properties calculated at the PBE+U level.

Output
The calculated density comes out at 6076 kg/m³. For the density of states at the Fermi level, the calculation gives 5.105 states/eV per cell. The symmetry is Pm-3m, No. 221. The electronic total energy comes out at -4.504 eV per atom. As for the crystal system: cubic.

Lattice parameters (Å, degrees): 5.0892 5.0892 5.0892 90.00 90.00 90.00
Closest atoms and distances in Å follow each position.
Sites, in units of the cell vectors:
Hf  0.0000  0.0000  0.0000  6 Mo 2.54
Mo  0.0000  0.0000  0.5000  2 Hf 2.54
Mo  0.0000  0.5000  0.0000  2 Hf 2.54
Mo  0.5000  0.0000  0.0000  2 Hf 2.54
O  0.5000  0.5000  0.5000  12 Mo 3.60

No. 3
Below is crystalline HfMo2O at its relaxed geometry, with properties calculated at the PBE+U level.

Output
The calculated density comes out at 10366 kg/m³. For the density of states at the Fermi level, the calculation gives 4.297 states/eV per cell. The symmetry is I-42d, No. 122. The electronic total energy comes out at -7.083 eV per atom. As for the crystal system: tetragonal.

Lattice parameters (Å, degrees): 5.7118 5.7118 5.7118 98.87 98.87 133.75
Closest atoms and distances in Å follow each position.
Sites, in units of the cell vectors:
Hf  0.0000  0.0000  0.0000  2 O 2.24
Hf  0.7500  0.2500  0.5000  2 O 2.24
Mo  0.2339  0.6250  0.1089  2 O 2.21
Mo  0.3750  0.4839  0.6089  2 O 2.21
Mo  0.5161  0.1250  0.8911  2 O 2.21
Mo  0.8750  0.7661  0.3911  2 O 2.21
O  0.2500  0.7500  0.5000  4 Mo 2.21, 2 Hf 2.24
O  0.5000  0.5000  0.0000  4 Mo 2.21, 2 Hf 2.24

No. 4
Below is crystalline HfMoO2 at its relaxed geometry, with properties calculated at the PBE+U level.

Output
The calculated density comes out at 11055 kg/m³. For the density of states at the Fermi level, the calculation gives 1.990 states/eV per cell. The symmetry is Fm-3m, No. 225. The electronic total energy comes out at -7.566 eV per atom. As for the crystal system: cubic.

Lattice parameters (Å, degrees): 4.0227 4.0227 4.0227 60.00 60.00 60.00
Closest atoms and distances in Å follow each position.
Sites, in units of the cell vectors:
Hf  0.0000  0.0000  0.0000  8 O 2.46
Mo  0.5000  0.5000  0.5000  8 O 2.46
O  0.2500  0.2500  0.2500  4 Hf 2.46, 4 Mo 2.46
O  0.7500  0.7500  0.7500  4 Hf 2.46, 4 Mo 2.46

No. 5
Below is crystalline Hf3MoO at its relaxed geometry, with properties calculated at the PBE+U level.

Output
The calculated density comes out at 12174 kg/m³. For the density of states at the Fermi level, the calculation gives 4.391 states/eV per cell. The symmetry is Pm-3m, No. 221. The electronic total energy comes out at -9.106 eV per atom. As for the crystal system: cubic.

Lattice parameters (Å, degrees): 4.4531 4.4531 4.4531 90.00 90.00 90.00
Closest atoms and distances in Å follow each position.
Sites, in units of the cell vectors:
Hf  0.0000  0.0000  0.5000  2 O 2.23
Hf  0.0000  0.5000  0.0000  2 O 2.23
Hf  0.5000  0.0000  0.0000  2 O 2.23
Mo  0.5000  0.5000  0.5000  12 Hf 3.15
O  0.0000  0.0000  0.0000  6 Hf 2.23

No. 6
Below is crystalline HfMoO2 at its relaxed geometry, with properties calculated at the PBE+U level.

Output
The calculated density comes out at 8483 kg/m³. For the density of states at the Fermi level, the calculation gives 1.267 states/eV per cell. The symmetry is R-3m, No. 166. The electronic total energy comes out at -8.619 eV per atom. As for the crystal system: trigonal.

Lattice parameters (Å, degrees): 6.2414 6.2414 6.2414 31.80 31.80 31.80
Closest atoms and distances in Å follow each position.
Sites, in units of the cell vectors:
Hf  0.0000  0.0000  0.0000  6 O 2.14
Mo  0.5000  0.5000  0.5000  2 O 2.15
O  0.3790  0.3790  0.3790  3 Hf 2.14, 1 Mo 2.15
O  0.6210  0.6210  0.6210  3 Hf 2.14, 1 Mo 2.15